Th2MoC3 after structural relaxation, computed with PBE-GGA.

abc: 4.084 3.630 7.203
angles: 104.59 106.47 90.00
Positions (direct):
C1 0.660 0.451 0.320
C2 0.340 0.131 0.680
Mo1 0.500 0.290 0.000
C3 0.000 0.290 0.000
Th1 0.854 0.644 0.707
Th2 0.146 0.937 0.293

Results
Energy relative to the elements   -0.145 eV per atom
Total energy   -9.04 eV per atom
Space group   No. 71